Pa2TlAu, relaxed, DFT PBE; formation energy from the elements = -0.04 eV per atom; E_tot = -24.8 eV for the cell shown
1.0
3.2169 0.0000 0.0000
1.6085 2.7860 0.0000
1.6085 0.9287 10.7547
Pa Au Tl
2 1 1
direct
0.7449 0.7449 0.7654
0.2551 0.2551 0.2346
0.0000 0.0000 0.0000
0.5000 0.5000 0.5000


Pa2TlAu, relaxed, DFT PBE; formation energy from the elements = -0.04 eV per atom; E_tot = -24.8 eV for the cell shown
1.0
3.2563 0.0000 0.0000
0.0000 3.2563 0.0000
0.0000 0.0000 9.0682
Pa Tl Au
2 1 1
direct
0.0000 0.0000 0.7665
0.0000 0.0000 0.2335
0.5000 0.5000 0.5000
0.5000 0.5000 0.0000